No. 1
This record from the Alexandria database describes Pm3SbPCl after structural relaxation. The functional is PBE.

Values from the calculation:
Spin magnetization   0.709 μB/f.u.
Uncorrected formation energy   -7.897 eV/f.u.
Symmetry   P2_1/m

Cell lengths 4.277, 8.551, 9.505 Å; angles 102.98, 90.00, 90.00 degrees
Last column: magnetic moment on the atom in μB.
Fractional coordinates of all 12 atoms:
Pm1 0.250 0.715 0.485  0.22
Pm2 0.750 0.888 0.132  -0.01
Pm3 0.750 0.429 0.148  0.06
Pm4 0.750 0.285 0.515  0.22
Pm5 0.250 0.571 0.852  0.06
Pm6 0.250 0.112 0.868  -0.01
Sb1 0.750 0.817 0.776  0.00
Sb2 0.250 0.183 0.224  0.00
P1 0.250 0.660 0.157  0.00
P2 0.750 0.340 0.843  0.00
Cl1 0.250 0.107 0.580  0.01
Cl2 0.750 0.893 0.420  0.01

No. 2
This record from the Alexandria database describes La3Ru after structural relaxation. The functional is PBE.

Values from the calculation:
Spin magnetization   0.000 μB/f.u.
Energy of formation from the pure elements   268.1 meV/atom
Symmetry   R-3m

Cell lengths 3.548, 6.057, 6.057 Å; angles 116.28, 78.74, 78.74 degrees
Fractional coordinates of all 4 atoms:
La1 0.000 0.000 0.000
La2 0.500 0.000 0.500
La3 0.500 0.500 0.000
Ru1 0.000 0.500 0.500

No. 3
This record from the Alexandria database describes SrTa2Te after structural relaxation. The functional is PBE.

Values from the calculation:
Spin magnetization   0.000 μB/f.u.
Uncorrected formation energy   2.212 eV/f.u.
Symmetry   Immm
Energy above the lowest structure with this stoichiometry   1.70 eV per formula unit

Cell lengths 6.526, 6.526, 6.526 Å; angles 151.30, 133.01, 56.00 degrees
Fractional coordinates of all 4 atoms:
Sr1 0.250 0.750 0.500
Ta1 0.966 0.966 0.000
Ta2 0.534 0.534 0.000
Te1 0.750 0.250 0.500

No. 4
This record from the Alexandria database describes CaY2SnPt after structural relaxation. The functional is PBE.

Values from the calculation:
Spin magnetization   0.000 μB/f.u.
Energy of formation from the pure elements   92.6 meV/atom
Symmetry   P4/mmm

Cell lengths 5.730, 5.052, 5.730 Å; angles 90.00, 90.00, 90.00 degrees
Fractional coordinates of all 5 atoms:
Y1 0.000 0.000 0.500
Y2 0.500 0.000 0.000
Ca1 0.500 0.500 0.500
Sn1 0.000 0.000 0.000
Pt1 0.000 0.500 0.000